! NpUVO6 | the Alexandria database | GGA+U | relaxed; values from VASP
&SYSTEM
  ibrav = 0, nat = 18, ntyp = 4
/
ATOMIC_SPECIES
Np 237.00 Np.upf
U 238.03 U.upf
V 50.94 V.upf
O 16.00 O.upf
ATOMIC_POSITIONS crystal
Np 0.000 0.000 0.000
Np 0.000 0.000 0.500
U 0.333 0.667 0.250
U 0.667 0.333 0.750
V 0.333 0.667 0.750
V 0.667 0.333 0.250
O 0.005 0.339 0.633
O 0.005 0.666 0.867
O 0.334 0.339 0.867
O 0.334 0.995 0.633
O 0.339 0.005 0.133
O 0.339 0.334 0.367
O 0.661 0.666 0.633
O 0.661 0.995 0.867
O 0.666 0.005 0.367
O 0.666 0.661 0.133
O 0.995 0.334 0.133
O 0.995 0.661 0.367
CELL_PARAMETERS angstrom
5.403 0.000 0.000
-2.701 4.679 0.000
0.000 0.000 9.775
! Uncorrected energy in eV per atom: -9.620
! Density in g/cm3: 8.36